A plane-wave DFT calculation with PBE with a Hubbard U was carried out for a relaxed structure of Li3VOF5.

Results
calculated volume = 227.0 Å³ per cell
final energy = -5.51 eV per atom
magnetic moment = 1.00 μB per formula unit
energy above the lowest structure with this stoichiometry = 0 meV/atom

Unit cell a=5.7212 b=5.3599 c=8.3392 alpha=89.11 beta=90.86 gamma=117.41
Each line ends with the local moment (μB).
Atoms (fractional coordinates):
1 Li 0.9853 0.9743 0.6307  0.00
2 Li 0.4853 0.4744 0.1307  0.00
3 Li 0.0000 0.4937 0.8045  0.00
4 Li 0.5000 0.9937 0.3045  0.00
5 Li 0.4900 0.9726 0.6846  0.00
6 Li 0.9900 0.4726 0.1846  0.00
7 V 0.5204 0.5023 0.5029  1.07
8 V 0.0205 0.0024 0.0029  1.07
9 O 0.7414 0.5098 0.6377  -0.11
10 O 0.2414 0.0099 0.1377  -0.11
11 F 0.8122 0.0649 0.8109  -0.01
12 F 0.3122 0.5649 0.3109  -0.01
13 F 0.7734 0.0436 0.1421  0.01
14 F 0.2733 0.5436 0.6421  0.01
15 F 0.1937 0.9356 0.8136  0.01
16 F 0.6937 0.4357 0.3136  0.01
17 F 0.6924 0.9220 0.4896  0.01
18 F 0.1925 0.4221 0.9896  0.01
19 F 0.7967 0.5961 0.9992  0.00
20 F 0.2967 0.0961 0.4992  0.00